1.
# VGaH2 (PBE-GGA, optimized geometry)
data_VGaH2
_chemical_formula_sum 'V3 Ga3 H6'
_space_group_name_H-M_alt 'R 3 m'
_space_group_IT_number 160
_space_group_name_Hall 'R 3 -2"'
_cell_length_a 2.9310
_cell_length_b 2.9310
_cell_length_c 14.9550
_cell_angle_alpha 90.00
_cell_angle_beta 90.00
_cell_angle_gamma 120.00
loop_
_atom_site_label
_atom_site_fract_x
_atom_site_fract_y
_atom_site_fract_z
V1 0.0000 0.0000 0.0000
Ga1 0.0000 0.0000 0.8185
H1 0.0000 0.0000 0.3612
H2 0.0000 0.0000 0.6139
# - density of states at the Fermi level (states/eV per atom) = 0.6477
# - offset from the most stable computed form (meV per atom) = 0


2.
# Ba2AgSnH6 (PBE-GGA, optimized geometry)
data_Ba2AgSnH6
_chemical_formula_sum 'Ba4 Ag2 Sn2 H12'
_space_group_name_H-M_alt 'I 4/m m m'
_space_group_IT_number 139
_space_group_name_Hall '-I 4 2'
_cell_length_a 5.710
_cell_length_b 5.710
_cell_length_c 9.510
_cell_angle_alpha 90.00
_cell_angle_beta 90.00
_cell_angle_gamma 90.00
loop_
_atom_site_label
_atom_site_fract_x
_atom_site_fract_y
_atom_site_fract_z
Ba1 0.000 0.500 0.250
Ag1 0.000 0.000 0.000
Sn1 0.000 0.000 0.500
H1 0.000 0.000 0.190
H2 0.239 0.239 0.000
# - DFT total energy (eV per atom) = -3.19
# - density of states at the Fermi level (states/eV per atom) = 0.2244


3.
# CrIn2Si (PBE-GGA, optimized geometry)
data_CrIn2Si
_chemical_formula_sum 'Cr2 In4 Si2'
_space_group_name_H-M_alt 'C m m m'
_space_group_IT_number 65
_space_group_name_Hall '-C 2 2'
_cell_length_a 5.790
_cell_length_b 8.449
_cell_length_c 3.208
_cell_angle_alpha 90.00
_cell_angle_beta 90.00
_cell_angle_gamma 90.00
loop_
_atom_site_label
_atom_site_fract_x
_atom_site_fract_y
_atom_site_fract_z
Cr1 0.000 0.000 0.000
In1 0.250 0.250 0.500
Si1 0.000 0.500 0.000
# - density of states at the Fermi level (states/eV per atom) = 0.4863
# - raw formation energy (eV/atom) = 0.43
# - offset from the most stable computed form (meV per atom) = 203


4.
# Be2TcPb (PBE-GGA, optimized geometry)
data_Be2TcPb
_chemical_formula_sum 'Be6 Tc3 Pb3'
_space_group_name_H-M_alt 'R -3 m'
_space_group_IT_number 166
_space_group_name_Hall '-R 3 2"'
_cell_length_a 3.0394
_cell_length_b 3.0394
_cell_length_c 24.3806
_cell_angle_alpha 90.00
_cell_angle_beta 90.00
_cell_angle_gamma 120.00
loop_
_atom_site_label
_atom_site_fract_x
_atom_site_fract_y
_atom_site_fract_z
Be1 0.0000 0.0000 0.2315
Tc1 0.0000 0.0000 0.5000
Pb1 0.0000 0.0000 0.0000
# - DFT total energy (eV per atom) = -4.77
# - density of states at the Fermi level (states/eV per atom) = 0.2202


The lowest density of states at the Fermi level belongs to which entry?
Be2TcPb


What is the formula in the third record?
CrIn2Si